(1)
A relaxed Ni2GePIr crystal. Source: Alexandria, functional GGA-PBEsol.

Structure (extended XYZ):
```
5
Lattice="4.219 0.000 0.000 0.000 4.219 0.000 0.000 0.000 4.546" Properties=species:S:1:pos:R:3 pbc="T T T"
Ni 0.000 2.109 0.000
Ni 2.109 0.000 0.000
Ge 0.000 0.000 0.000
P 2.109 2.109 2.273
Ir 0.000 0.000 2.273
```

The electronic total energy is -28.01 eV for the cell shown. Its symmetry is P4/mmm (123). The value obtained for the calculated volume is 80.9 Å³/cell.


(2)
A relaxed GeP3Ir crystal. Source: Alexandria, functional GGA-PBEsol.

Structure (extended XYZ):
```
5
Lattice="4.448 0.000 0.000 0.000 4.448 0.000 0.000 0.000 4.448" Properties=species:S:1:pos:R:3 pbc="T T T"
Ge 0.000 0.000 0.000
P 0.000 0.000 2.224
P 0.000 2.224 0.000
P 2.224 0.000 0.000
Ir 2.224 2.224 2.224
```

The electronic total energy is -25.12 eV for the cell shown. Its symmetry is Pm-3m (221). The value obtained for the calculated volume is 88.0 Å³/cell.


(3)
A relaxed GeP2IrS crystal. Source: Alexandria, functional GGA-PBEsol.

Structure (extended XYZ):
```
5
Lattice="4.429 0.000 0.000 0.000 4.429 0.000 0.000 0.000 5.129" Properties=species:S:1:pos:R:3 pbc="T T T"
Ge 0.000 0.000 0.000
P 0.000 2.214 2.564
P 2.214 0.000 2.564
Ir 2.214 2.214 2.564
S 2.214 2.214 0.000
```

As for the formation energy from raw total energies: 0.618 eV/atom. The electronic total energy is -27.64 eV for the cell shown. Its symmetry is P4/mmm (123). The value obtained for the calculated volume is 100.6 Å³/cell.


(4)
A relaxed Pr2Ge5Ir3 crystal. Source: Alexandria, functional GGA-PBEsol.

Structure (extended XYZ):
```
20
Lattice="-5.090 5.940 3.026 5.090 -5.940 3.026 5.090 5.940 -3.026" Properties=species:S:1:pos:R:3 pbc="T T T"
Pr 2.336 1.570 0.000
Pr 2.336 -1.570 3.026
Pr 2.754 7.511 0.000
Pr 2.754 4.370 3.026
Ge 5.090 -2.674 1.513
Ge 6.714 1.193 0.000
Ge 0.000 0.000 1.513
Ge 1.624 4.747 0.000
Ge 5.090 2.674 1.513
Ge 0.000 3.266 1.513
Ge 3.465 1.193 3.026
Ge 0.000 0.000 4.540
Ge -1.624 4.747 3.026
Ge 0.000 8.615 1.513
Ir 3.974 -4.267 3.026
Ir 5.090 0.000 1.513
Ir 3.974 4.267 0.000
Ir 1.116 1.673 3.026
Ir 0.000 5.940 1.513
Ir 1.116 10.208 0.000
```

The electronic total energy is -144.79 eV for the cell shown. Its symmetry is Ibam (72). The value obtained for the calculated volume is 366.0 Å³/cell.


(5)
A relaxed PrGe2Ir2 crystal. Source: Alexandria, functional GGA-PBEsol.

Structure (extended XYZ):
```
10
Lattice="4.243 0.000 0.000 0.000 4.243 0.000 0.000 0.000 10.064" Properties=species:S:1:pos:R:3 pbc="T T T"
Pr 1.061 1.061 2.471
Pr 3.182 3.182 7.593
Ge 1.061 1.061 6.353
Ge 1.061 3.182 0.000
Ge 3.182 1.061 0.000
Ge 3.182 3.182 3.711
Ir 1.061 1.061 8.784
Ir 1.061 3.182 5.032
Ir 3.182 1.061 5.032
Ir 3.182 3.182 1.280
```

The electronic total energy is -77.31 eV for the cell shown. Its symmetry is P4/nmm (129). The value obtained for the calculated volume is 181.2 Å³/cell.


(6)
A relaxed PrGeIr crystal. Source: Alexandria, functional GGA-PBEsol.

Structure (extended XYZ):
```
12
Lattice="7.156 0.000 0.000 0.000 4.445 0.000 0.000 0.000 7.472" Properties=species:S:1:pos:R:3 pbc="T T T"
Pr 0.116 1.111 1.450
Pr 3.462 3.334 5.186
Pr 3.694 1.111 2.287
Pr 7.040 3.334 6.023
Ge 1.260 1.111 4.368
Ge 2.318 3.334 0.632
Ge 4.838 1.111 6.840
Ge 5.897 3.334 3.104
Ir 1.400 3.334 3.055
Ir 2.178 1.111 6.792
Ir 4.978 3.334 0.681
Ir 5.756 1.111 4.417
```

The electronic total energy is -89.52 eV for the cell shown. Its symmetry is Pnma (62). The value obtained for the calculated volume is 237.7 Å³/cell.


(7)
A relaxed RbGe2Ir2 crystal. Source: Alexandria, functional GGA-PBEsol.

Structure (extended XYZ):
```
5
Lattice="-2.059 2.059 6.311 2.059 -2.059 6.311 2.059 2.059 -6.311" Properties=species:S:1:pos:R:3 pbc="T T T"
Rb 0.000 0.000 0.000
Ge 0.000 0.000 4.464
Ge 0.000 0.000 8.158
Ir 2.059 0.000 3.156
Ir 0.000 2.059 3.156
```

The electronic total energy is -31.73 eV for the cell shown. Its symmetry is I4/mmm (139). The value obtained for the calculated volume is 107.0 Å³/cell.


(8)
A relaxed GeIr3Ru crystal. Source: Alexandria, functional GGA-PBEsol.

Structure (extended XYZ):
```
5
Lattice="4.467 0.000 0.000 0.000 4.467 0.000 0.000 0.000 4.467" Properties=species:S:1:pos:R:3 pbc="T T T"
Ge 0.000 0.000 0.000
Ir 0.000 0.000 2.233
Ir 0.000 2.233 0.000
Ir 2.233 0.000 0.000
Ru 2.233 2.233 2.233
```

The electronic total energy is -36.20 eV for the cell shown. Its symmetry is Pm-3m (221). The value obtained for the calculated volume is 89.1 Å³/cell.


Question: The lowest electronic total energy belongs to which entry?
Answer: Pr2Ge5Ir3


Question: Which formula does entry 1 have?
Answer: Ni2GePIr


Please write out number 6 again, unchanged.
A relaxed PrGeIr crystal. Source: Alexandria, functional GGA-PBEsol.

Structure (extended XYZ):
```
12
Lattice="7.156 0.000 0.000 0.000 4.445 0.000 0.000 0.000 7.472" Properties=species:S:1:pos:R:3 pbc="T T T"
Pr 0.116 1.111 1.450
Pr 3.462 3.334 5.186
Pr 3.694 1.111 2.287
Pr 7.040 3.334 6.023
Ge 1.260 1.111 4.368
Ge 2.318 3.334 0.632
Ge 4.838 1.111 6.840
Ge 5.897 3.334 3.104
Ir 1.400 3.334 3.055
Ir 2.178 1.111 6.792
Ir 4.978 3.334 0.681
Ir 5.756 1.111 4.417
```

The electronic total energy is -89.52 eV for the cell shown. Its symmetry is Pnma (62). The value obtained for the calculated volume is 237.7 Å³/cell.


Question: The lowest calculated volume belongs to which entry?
Answer: Ni2GePIr